(1)
Density functional theory data (PBE) for crystalline PaGa2 at its relaxed geometry.

Values from the calculation:
Calculated volume in Å³/f.u.: 61
SG: Pmmm
D(E_F) in states/eV per atom: 1.22
Energy of formation from the pure elements in eV/atom: -0.1751
Total magnetization in μB per atom: 0.0746

Structure (extended XYZ):
```
6
Lattice="3.0826 0.0000 0.0000 0.0000 3.8746 0.0000 0.0000 0.0000 10.2614" Properties=species:S:1:pos:R:3 pbc="T T T"
Ga 0.0000 0.0000 0.0000
Pa 0.0000 0.0000 7.0125
Pa 0.0000 0.0000 3.2489
Ga 1.5413 1.9373 5.1307
Ga 1.5413 1.9373 8.8793
Ga 1.5413 1.9373 1.3821
```

(2)
Density functional theory data (PBE) for crystalline Ag4W at its relaxed geometry.

Values from the calculation:
Calculated volume in Å³/f.u.: 97
SG: I4/mmm
D(E_F) in states/eV per atom: 0.84
Energy of formation from the pure elements in eV/atom: 1.0328
Total magnetization in μB per atom: 0.4683

Structure (extended XYZ):
```
5
Lattice="-1.8597 1.8597 6.9900 1.8597 -1.8597 6.9900 1.8597 1.8597 -6.9900" Properties=species:S:1:pos:R:3 pbc="T T T"
W 0.0000 0.0000 0.0000
Ag 1.8597 0.0000 3.4950
Ag 0.0000 0.0000 8.3184
Ag 0.0000 1.8597 3.4950
Ag 0.0000 0.0000 5.6616
```